The following is a DFT calculation (GGA-PBE) of crystalline SmCdCu10 at its relaxed geometry.

Properties
- Calculated total energy: -3.942 eV per atom

CIF file:
```
data_SmCdCu10
_chemical_formula_sum 'Sm1 Cd1 Cu10'
_cell_length_a 4.0937
_cell_length_b 4.9981
_cell_length_c 8.6827
_cell_angle_alpha 90.00
_cell_angle_beta 90.00
_cell_angle_gamma 90.00
_symmetry_space_group_name_H-M 'P m m m'
_symmetry_Int_Tables_number 47
loop_
_symmetry_equiv_pos_as_xyz
'x,y,z'
'-x,-y,-z'
'-x,-y,z'
'x,y,-z'
'x,-y,-z'
'-x,y,z'
'-x,y,-z'
'x,-y,z'
loop_
_atom_site_label
_atom_site_type_symbol
_atom_site_fract_x
_atom_site_fract_y
_atom_site_fract_z
Sm1 Sm 0.0000 0.0000 0.0000
Cd1 Cd 0.0000 0.5000 0.5000
Cu1 Cu 0.0000 0.0000 0.3437
Cu2 Cu 0.0000 0.5000 0.1820
Cu3 Cu 0.5000 0.0000 0.5000
Cu4 Cu 0.5000 0.2477 0.2501
Cu5 Cu 0.5000 0.5000 0.0000
```

=====

The following is a DFT calculation (GGA-PBE) of crystalline FeSiSnRh2 at its relaxed geometry.

Properties
- Calculated total energy: -5.879 eV per atom
- Energy relative to the elements, uncorrected: 61.72 kJ/mol of atoms

CIF file:
```
data_FeSiSnRh2
_chemical_formula_sum 'Fe1 Si1 Sn1 Rh2'
_cell_length_a 4.3796
_cell_length_b 4.3796
_cell_length_c 5.0769
_cell_angle_alpha 90.00
_cell_angle_beta 90.00
_cell_angle_gamma 90.00
_symmetry_space_group_name_H-M 'P 4/m m m'
_symmetry_Int_Tables_number 123
_symmetry_space_group_name_Hall '-P 4 2'
loop_
_atom_site_label
_atom_site_type_symbol
_atom_site_fract_x
_atom_site_fract_y
_atom_site_fract_z
Fe1 Fe 0.0000 0.0000 0.0000
Si1 Si 0.5000 0.5000 0.5000
Sn1 Sn 0.5000 0.5000 0.0000
Rh1 Rh 0.0000 0.5000 0.5000
```

=====

The following is a DFT calculation (GGA-PBE) of crystalline FeSe at its relaxed geometry.

Properties
- Calculated total energy: -6.100 eV per atom
- Energy relative to the elements, uncorrected: -12.16 kJ/mol of atoms

CIF file:
```
data_FeSe
_chemical_formula_sum 'Fe4 Se4'
_cell_length_a 6.5478
_cell_length_b 3.7915
_cell_length_c 6.3035
_cell_angle_alpha 90.00
_cell_angle_beta 91.26
_cell_angle_gamma 90.00
_symmetry_space_group_name_H-M 'C 1 m 1'
_symmetry_Int_Tables_number 8
loop_
_symmetry_equiv_pos_as_xyz
'x,y,z'
'x,-y,z'
'x+1/2,y+1/2,z'
'x+1/2,-y+1/2,z'
loop_
_atom_site_label
_atom_site_type_symbol
_atom_site_fract_x
_atom_site_fract_y
_atom_site_fract_z
Fe1 Fe 0.0000 0.0000 0.0000
Fe2 Fe 0.1706 0.5000 0.1823
Se1 Se 0.0083 0.0000 0.3708
Se2 Se 0.3317 0.0000 0.8820
```

=====

The following is a DFT calculation (GGA-PBE) of crystalline KNa2LiIn at its relaxed geometry.

Properties
- Energy relative to the lowest polymorph listed for this composition: 0.0 kJ per mole of atoms
- Calculated total energy: -1.636 eV per atom

CIF file:
```
data_KNa2LiIn
_chemical_formula_sum 'K1 Na2 Li1 In1'
_cell_length_a 6.0265
_cell_length_b 6.0265
_cell_length_c 5.5461
_cell_angle_alpha 90.00
_cell_angle_beta 90.00
_cell_angle_gamma 90.00
_symmetry_space_group_name_H-M 'P 4/m m m'
_symmetry_Int_Tables_number 123
_symmetry_space_group_name_Hall '-P 4 2'
loop_
_atom_site_label
_atom_site_type_symbol
_atom_site_fract_x
_atom_site_fract_y
_atom_site_fract_z
K1 K 0.0000 0.0000 0.0000
Na1 Na 0.0000 0.5000 0.5000
Li1 Li 0.5000 0.5000 0.0000
In1 In 0.5000 0.5000 0.5000
```

=====

The following is a DFT calculation (GGA-PBE) of crystalline P4Os5 at its relaxed geometry.

Properties
- Energy relative to the lowest polymorph listed for this composition: 18.0 kJ per mole of atoms
- Calculated total energy: -8.233 eV per atom

CIF file:
```
data_P4Os5
_chemical_formula_sum 'P8 Os10'
_cell_length_a 9.8286
_cell_length_b 9.8286
_cell_length_c 2.8265
_cell_angle_alpha 90.00
_cell_angle_beta 90.00
_cell_angle_gamma 90.00
_symmetry_space_group_name_H-M 'I 4/m m m'
_symmetry_Int_Tables_number 139
_symmetry_space_group_name_Hall '-I 4 2'
loop_
_atom_site_label
_atom_site_type_symbol
_atom_site_fract_x
_atom_site_fract_y
_atom_site_fract_z
P1 P 0.0000 0.2993 0.0000
Os1 Os 0.0000 0.0000 0.0000
Os2 Os 0.1593 0.1593 0.5000
```

=====

The following is a DFT calculation (GGA-PBE) of crystalline BiIrRh2C at its relaxed geometry.

Properties
- Calculated total energy: -6.654 eV per atom

CIF file:
```
data_BiIrRh2C
_chemical_formula_sum 'Bi1 Ir1 Rh2 C1'
_cell_length_a 3.9934
_cell_length_b 3.9934
_cell_length_c 5.0757
_cell_angle_alpha 90.00
_cell_angle_beta 90.00
_cell_angle_gamma 90.00
_symmetry_space_group_name_H-M 'P 4/m m m'
_symmetry_Int_Tables_number 123
_symmetry_space_group_name_Hall '-P 4 2'
loop_
_atom_site_label
_atom_site_type_symbol
_atom_site_fract_x
_atom_site_fract_y
_atom_site_fract_z
Bi1 Bi 0.0000 0.0000 0.0000
Ir1 Ir 0.5000 0.5000 0.0000
Rh1 Rh 0.0000 0.5000 0.5000
C1 C 0.0000 0.0000 0.5000
```

=====

The following is a DFT calculation (GGA-PBE) of crystalline MgIrSe2 at its relaxed geometry.

Properties
- Calculated total energy: -4.823 eV per atom
- Energy relative to the elements, uncorrected: -45.02 kJ/mol of atoms

CIF file:
```
data_MgIrSe2
_chemical_formula_sum 'Mg2 Ir2 Se4'
_cell_length_a 3.6904
_cell_length_b 4.2957
_cell_length_c 12.0976
_cell_angle_alpha 90.00
_cell_angle_beta 90.00
_cell_angle_gamma 90.00
_symmetry_space_group_name_H-M 'I m m m'
_symmetry_Int_Tables_number 71
_symmetry_space_group_name_Hall '-I 2 2'
loop_
_atom_site_label
_atom_site_type_symbol
_atom_site_fract_x
_atom_site_fract_y
_atom_site_fract_z
Mg1 Mg 0.0000 0.0000 0.0000
Ir1 Ir 0.0000 0.0000 0.5000
Se1 Se 0.0000 0.5000 0.1385
```

=====

The following is a DFT calculation (GGA-PBE) of crystalline TiIn3Ge at its relaxed geometry.

Properties
- Energy relative to the lowest polymorph listed for this composition: 19.7 kJ per mole of atoms
- Calculated total energy: -3.275 eV per atom

CIF file:
```
data_TiIn3Ge
_chemical_formula_sum 'Ti1 In3 Ge1'
_cell_length_a 5.2401
_cell_length_b 5.2401
_cell_length_c 5.2401
_cell_angle_alpha 90.00
_cell_angle_beta 90.00
_cell_angle_gamma 90.00
_symmetry_space_group_name_H-M 'P m -3 m'
_symmetry_Int_Tables_number 221
_symmetry_space_group_name_Hall '-P 4 2 3'
loop_
_atom_site_label
_atom_site_type_symbol
_atom_site_fract_x
_atom_site_fract_y
_atom_site_fract_z
Ti1 Ti 0.0000 0.0000 0.0000
In1 In 0.0000 0.5000 0.5000
Ge1 Ge 0.5000 0.5000 0.5000
```

=====

The following is a DFT calculation (GGA-PBE) of crystalline Cd4SbN2 at its relaxed geometry.

Properties
- Calculated total energy: -3.072 eV per atom
- Energy relative to the elements, uncorrected: 40.36 kJ/mol of atoms

CIF file:
```
data_Cd4SbN2
_chemical_formula_sum 'Cd8 Sb2 N4'
_cell_length_a 3.5437
_cell_length_b 4.4072
_cell_length_c 18.3080
_cell_angle_alpha 90.00
_cell_angle_beta 90.00
_cell_angle_gamma 90.00
_symmetry_space_group_name_H-M 'I m m m'
_symmetry_Int_Tables_number 71
_symmetry_space_group_name_Hall '-I 2 2'
loop_
_atom_site_label
_atom_site_type_symbol
_atom_site_fract_x
_atom_site_fract_y
_atom_site_fract_z
Cd1 Cd 0.0000 0.0000 0.1059
Cd2 Cd 0.0000 0.0000 0.2872
Sb1 Sb 0.0000 0.5000 0.0000
N1 N 0.0000 0.5000 0.3121
```

=====

The following is a DFT calculation (GGA-PBE) of crystalline ZnTcIN2 at its relaxed geometry.

Properties
- Energy relative to the lowest polymorph listed for this composition: 125.4 kJ per mole of atoms
- Calculated total energy: -3.990 eV per atom
- Energy relative to the elements, uncorrected: 190.86 kJ/mol of atoms

CIF file:
```
data_ZnTcIN2
_chemical_formula_sum 'Zn1 Tc1 I1 N2'
_cell_length_a 3.9722
_cell_length_b 3.9722
_cell_length_c 6.2553
_cell_angle_alpha 90.00
_cell_angle_beta 90.00
_cell_angle_gamma 90.00
_symmetry_space_group_name_H-M 'P 4/m m m'
_symmetry_Int_Tables_number 123
_symmetry_space_group_name_Hall '-P 4 2'
loop_
_atom_site_label
_atom_site_type_symbol
_atom_site_fract_x
_atom_site_fract_y
_atom_site_fract_z
Zn1 Zn 0.0000 0.0000 0.0000
Tc1 Tc 0.5000 0.5000 0.5000
I1 I 0.0000 0.0000 0.5000
N1 N 0.0000 0.5000 0.0000
```

=====

The following is a DFT calculation (GGA-PBE) of crystalline KUTe2S6 at its relaxed geometry.

Properties
- Calculated total energy: -4.909 eV per atom
- Energy relative to the elements, uncorrected: -54.56 kJ/mol of atoms

CIF file:
```
data_KUTe2S6
_chemical_formula_sum 'K1 U1 Te2 S6'
_cell_length_a 6.7966
_cell_length_b 7.4147
_cell_length_c 7.5827
_cell_angle_alpha 65.37
_cell_angle_beta 88.06
_cell_angle_gamma 66.62
_symmetry_space_group_name_H-M 'P 1'
_symmetry_Int_Tables_number 1
loop_
_symmetry_equiv_pos_as_xyz
'x,y,z'
loop_
_atom_site_label
_atom_site_type_symbol
_atom_site_fract_x
_atom_site_fract_y
_atom_site_fract_z
K1 K 0.0000 0.0000 0.0000
U1 U 0.3770 0.1823 0.4640
Te1 Te 0.3215 0.6586 0.7002
Te2 Te 0.7268 0.3836 0.2988
S1 S 0.2509 0.4678 0.1218
S2 S 0.3627 0.8826 0.3652
S3 S 0.4673 0.2519 0.7513
S4 S 0.4860 0.8445 0.8123
S5 S 0.7749 0.0177 0.3869
S6 S 0.9777 0.3384 0.5521
```

=====

The following is a DFT calculation (GGA-PBE) of crystalline SrCeGa2Rh2 at its relaxed geometry.

Properties
- Calculated total energy: -5.418 eV per atom

CIF file:
```
data_SrCeGa2Rh2
_chemical_formula_sum 'Sr1 Ce1 Ga2 Rh2'
_cell_length_a 4.3942
_cell_length_b 4.3942
_cell_length_c 7.9468
_cell_angle_alpha 90.00
_cell_angle_beta 90.00
_cell_angle_gamma 120.00
_symmetry_space_group_name_H-M 'P -3 m 1'
_symmetry_Int_Tables_number 164
_symmetry_space_group_name_Hall '-P 3 2"'
loop_
_atom_site_label
_atom_site_type_symbol
_atom_site_fract_x
_atom_site_fract_y
_atom_site_fract_z
Sr1 Sr 0.0000 0.0000 0.0000
Ce1 Ce 0.0000 0.0000 0.5000
Ga1 Ga 0.3333 0.6667 0.2721
Rh1 Rh 0.3333 0.6667 0.6949
```